Entry from OQMD: crystalline SnPAuO at its relaxed geometry (PBE).

Output
Uncorrected energy (eV/atom): -4.77

abc: 4.019 4.019 9.465
angles: 90.00 90.00 90.00
Space group P4/nmm (No. 129, origin choice 2)
Unique sites:
1 Sn 0.250 0.250 0.118
2 P 0.250 0.250 0.659
3 Au 0.250 0.750 0.500
4 O 0.250 0.750 0.000

=====

Entry from OQMD: crystalline SnPAuO at its relaxed geometry (PBE).

Output
Uncorrected energy (eV/atom): -4.69

abc: 3.846 6.641 6.489
angles: 90.00 90.00 90.00
Space group Pmc2_1 (No. 26)
Unique sites:
1 Sn 0.000 0.199 0.000
2 P 0.000 0.174 0.397
3 Au 0.500 0.319 0.529
4 O 0.500 0.309 0.933

=====

Entry from OQMD: crystalline SnPAuO at its relaxed geometry (PBE).

Output
Uncorrected energy (eV/atom): -4.08

abc: 4.516 4.516 7.991
angles: 90.00 90.00 90.00
Space group P4/nmm (No. 129, origin choice 2)
Unique sites:
1 Sn 0.250 0.750 0.000
2 P 0.250 0.250 0.182
3 Au 0.250 0.250 0.519
4 O 0.250 0.750 0.500

=====

Entry from OQMD: crystalline SnPAuO at its relaxed geometry (PBE).

Output
Uncorrected energy (eV/atom): -4.74

abc: 4.000 6.620 6.480
angles: 90.00 90.00 90.00
Space group Pmc2_1 (No. 26)
Unique sites:
1 Sn 0.000 0.128 0.000
2 P 0.500 0.315 0.865
3 Au 0.500 0.360 0.514
4 O 0.000 0.123 0.315

=====

Entry from OQMD: crystalline TbPAuO at its relaxed geometry (PBE).

Output
Uncorrected energy (eV/atom): -5.82

abc: 3.805 7.427 5.967
angles: 90.00 90.00 90.00
Space group Pmc2_1 (No. 26)
Unique sites:
1 Tb 0.000 0.225 0.000
2 P 0.000 0.156 0.501
3 Au 0.500 0.340 0.507
4 O 0.500 0.352 0.006

=====

Entry from OQMD: crystalline TbPAuO at its relaxed geometry (PBE).

Output
Uncorrected energy (eV/atom): -5.61

abc: 5.730 5.730 4.589
angles: 90.00 90.00 90.00
Space group P4/nmm (No. 129, origin choice 2)
Unique sites:
1 Tb 0.250 0.750 0.000
2 P 0.250 0.250 0.003
3 Au 0.250 0.250 0.503
4 O 0.250 0.750 0.500